# Ti2Zn2Sb, optimized geometry, DFT PBE
# - DOS at the Fermi energy (states/eV per atom) = 0.964
# - excess energy over the best structure of this formula in the dataset (meV per atom) = 29
# - magnetization (μB/cell) = 0.90
# - raw total energy (eV/atom) = -4.53
# - E_form (uncorrected) (meV/atom) = -43
data_Ti2Zn2Sb
_cell_length_a 6.931
_cell_length_b 6.931
_cell_length_c 3.929
_cell_angle_alpha 90.00
_cell_angle_beta 90.00
_cell_angle_gamma 90.00
_space_group_name_H-M_alt 'P 4/m b m'
_space_group_IT_number 127
_space_group_name_Hall '-P 4 2ab'
loop_
_atom_site_label
_atom_site_type_symbol
_atom_site_fract_x
_atom_site_fract_y
_atom_site_fract_z
Ti1 Ti 0.147 0.353 0.000
Zn1 Zn 0.143 0.643 0.500
Sb1 Sb 0.000 0.000 0.000